Entry 1:
Nb4Zn2Pt, relaxed, DFT PBE; spin magnetization = 0.00 μB/atom; formation enthalpy at 0 K = 1.02 eV/atom; space group = No. 139
1.0
4.9297 0.0000 0.0000
0.0000 4.9297 0.0000
2.4649 2.4649 6.3077
Nb Zn Pt
4 2 1
direct
0.8001 0.8001 0.3997
0.1999 0.1999 0.6003
0.5000 0.0000 0.0000
0.0000 0.5000 0.0000
0.3992 0.3992 0.2016
0.6008 0.6008 0.7984
0.0000 0.0000 0.0000


Entry 2:
Re2PtBr, relaxed, DFT PBE; spin magnetization = 0.00 μB/atom; space group = No. 123; E above lowest polymorph = 2.52 eV per formula unit; ΔE_f (raw) = 1.01 eV/atom
1.0
-2.2600 1.7014 0.2064
-1.2929 -1.4682 -2.0538
-3.1763 -4.8854 5.4919
Re Br Pt
2 1 1
direct
0.0000 0.0000 0.5091
0.0000 0.0000 0.9909
0.5000 0.5000 0.2500
0.5000 0.5000 0.7500


Entry 3:
BaTc2, relaxed, DFT PBE; spin magnetization = 0.00 μB/atom; formation enthalpy at 0 K = 0.56 eV/atom; space group = No. 164; E above lowest polymorph = 0.46 eV per formula unit
1.0
-3.2543 -2.3264 0.9593
1.4128 0.0679 -3.8629
3.3336 -4.1907 1.1456
Tc Ba
2 1
direct
0.6667 0.3333 0.5221
0.3333 0.6667 0.4779
0.0000 0.0000 0.0000


Entry 4:
Ca4MgIn, relaxed, DFT PBE; spin magnetization = 0.00 μB/atom; formation enthalpy at 0 K = 0.24 eV/atom; space group = No. 216; E above lowest polymorph = 2.63 eV per formula unit
1.0
0.0000 4.7986 4.7986
4.7986 0.0000 4.7986
4.7986 4.7986 0.0000
Ca Mg In
4 1 1
direct
0.6247 0.6247 0.6247
0.1258 0.6247 0.6247
0.6247 0.6247 0.1258
0.6247 0.1258 0.6247
0.0000 0.0000 0.0000
0.2500 0.2500 0.2500


Entry 5:
Na3TiAu, relaxed, DFT PBE; spin magnetization = 0.78 μB/atom; formation enthalpy at 0 K = 1.10 eV/atom; space group = No. 221; E above lowest polymorph = 1.82 eV per formula unit
1.0
-4.4872 -3.7435 0.2335
1.6575 -2.3057 -5.1126
3.3646 -3.8565 2.8301
Au Na Ti
1 3 1
direct
0.5000 0.5000 0.5000
0.0000 0.0000 0.5000
0.0000 0.5000 0.0000
0.5000 0.0000 0.0000
0.0000 0.0000 0.0000


Entry 6:
HoHg2Br8, relaxed, DFT PBE; spin magnetization = 0.06 μB/atom; space group = No. 12; ΔE_f (raw) = -0.81 eV/atom
1.0
-6.7669 0.3164 -0.2240
1.0420 -6.7693 4.8721
1.3414 1.9044 8.0759
Br Hg Ho
8 2 1
direct
0.1824 0.6173 0.6173
0.7832 0.8688 0.2913
0.8176 0.3827 0.3827
0.2168 0.7087 0.1312
0.2168 0.1312 0.7087
0.2795 0.1787 0.1787
0.7832 0.2913 0.8688
0.7205 0.8213 0.8213
0.6931 0.1985 0.1985
0.3069 0.8015 0.8015
0.0000 0.0000 0.0000